No. 1
# SmS

A geometry-optimized SmS structure (PBEsol, the Alexandria database).

## Properties
Fermi-level density of states	0.79	states/eV/cell
formation energy (no corrections)	-2.129	eV/atom
SG	Fm-3m (225)
electronic total energy	-6.867	eV/atom

POSCAR file:
```
SmS
1.0
3.952 0.000 0.000
1.976 3.422 0.000
1.976 1.141 3.227
Sm S
1 1
Direct
0.500 0.500 0.500 Sm
0.000 0.000 0.000 S
```

No. 2
# Nd2Au

A geometry-optimized Nd2Au structure (PBEsol, the Alexandria database).

## Properties
Fermi-level density of states	11.05	states/eV/cell
SG	Pnma (62)
electronic total energy	-5.302	eV/atom

POSCAR file:
```
Nd2Au
1.0
-0.265 3.784 -3.274
-4.109 -4.008 -4.301
-7.510 3.146 4.244
Au Nd
4 8
Direct
0.250 0.258 0.095 Au
0.750 0.242 0.595 Au
0.250 0.758 0.405 Au
0.750 0.742 0.905 Au
0.250 0.494 0.822 Nd
0.250 0.994 0.678 Nd
0.750 0.655 0.586 Nd
0.250 0.845 0.086 Nd
0.750 0.006 0.322 Nd
0.750 0.506 0.178 Nd
0.750 0.155 0.914 Nd
0.250 0.345 0.414 Nd
```

No. 3
# Ca3Te2

A geometry-optimized Ca3Te2 structure (PBEsol, the Alexandria database).

## Properties
Fermi-level density of states	1.32	states/eV/cell
formation energy (no corrections)	-1.234	eV/atom
SG	R-3m (166)
electronic total energy	-3.924	eV/atom

POSCAR file:
```
Ca3Te2
1.0
-2.918 -3.009 1.131
1.298 -3.661 1.939
-1.648 2.438 10.569
Ca Te
3 2
Direct
0.000 0.000 0.000 Ca
0.783 0.783 0.651 Ca
0.217 0.217 0.349 Ca
0.392 0.392 0.825 Te
0.608 0.608 0.175 Te
```

No. 4
# LaCd2Pt

A geometry-optimized LaCd2Pt structure (PBEsol, the Alexandria database).

## Properties
Fermi-level density of states	1.76	states/eV/cell
SG	P4mm (99)
electronic total energy	-4.135	eV/atom

POSCAR file:
```
LaCd2Pt
1.0
3.457 0.000 0.000
0.000 3.457 0.000
0.000 0.000 7.474
Cd La Pt
2 1 1
Direct
0.500 0.500 0.208 Cd
0.000 0.000 0.979 Cd
0.000 0.000 0.541 La
0.500 0.500 0.773 Pt
```